Entry 1:
A plane-wave DFT calculation with PBE-GGA was carried out for crystalline FeGeSb2Te at its relaxed geometry.

Cell and atoms, written as CIF:
```
data_FeGeSb2Te
_space_group_name_H-M_alt 'P 1'
_space_group_IT_number 1
_cell_length_a 5.366
_cell_length_b 5.366
_cell_length_c 5.329
_cell_angle_alpha 90.00
_cell_angle_beta 90.00
_cell_angle_gamma 90.00
loop_
_space_group_symop_operation_xyz
'x,y,z'
loop_
_atom_site_label
_atom_site_fract_x
_atom_site_fract_y
_atom_site_fract_z
Sb1 0.500 0.000 0.000
Sb2 0.000 0.500 0.000
Ge1 0.000 0.000 0.000
Te1 0.000 0.000 0.500
Fe1 0.500 0.500 0.500
```

Output
distance to the lowest polymorph of the same formula: 2.981 eV per formula unit
formation energy (no corrections): 1.09 eV per atom
space-group type: P4/mmm (123)

=====

Entry 2:
A plane-wave DFT calculation with PBE-GGA was carried out for crystalline ScFeGe2 at its relaxed geometry.

Cell and atoms, written as CIF:
```
data_ScFeGe2
_space_group_name_H-M_alt 'P 1'
_space_group_IT_number 1
_cell_length_a 4.099
_cell_length_b 6.417
_cell_length_c 9.693
_cell_angle_alpha 90.00
_cell_angle_beta 90.00
_cell_angle_gamma 90.00
loop_
_space_group_symop_operation_xyz
'x,y,z'
loop_
_atom_site_label
_atom_site_fract_x
_atom_site_fract_y
_atom_site_fract_z
Fe1 0.750 0.908 0.596
Fe2 0.250 0.592 0.096
Fe3 0.250 0.092 0.404
Fe4 0.750 0.408 0.904
Ge1 0.750 0.737 0.024
Ge2 0.750 0.035 0.829
Ge3 0.250 0.263 0.976
Ge4 0.250 0.465 0.329
Ge5 0.750 0.237 0.476
Ge6 0.750 0.535 0.671
Ge7 0.250 0.965 0.171
Ge8 0.250 0.763 0.524
Sc1 0.250 0.222 0.678
Sc2 0.750 0.778 0.322
Sc3 0.750 0.278 0.178
Sc4 0.250 0.722 0.822
```

Output
calculated formation energy: -0.47 eV/atom
space-group type: Pnma (62)

=====

Entry 3:
A plane-wave DFT calculation with PBE-GGA was carried out for crystalline Sc2Fe2Ge at its relaxed geometry.

Cell and atoms, written as CIF:
```
data_Sc2Fe2Ge
_space_group_name_H-M_alt 'P 1'
_space_group_IT_number 1
_cell_length_a 6.196
_cell_length_b 6.196
_cell_length_c 4.110
_cell_angle_alpha 90.00
_cell_angle_beta 90.00
_cell_angle_gamma 90.00
loop_
_space_group_symop_operation_xyz
'x,y,z'
loop_
_atom_site_label
_atom_site_fract_x
_atom_site_fract_y
_atom_site_fract_z
Fe1 0.877 0.623 0.000
Fe2 0.377 0.877 0.000
Fe3 0.623 0.123 0.000
Fe4 0.123 0.377 0.000
Ge1 0.000 0.000 0.000
Ge2 0.500 0.500 0.000
Sc1 0.679 0.821 0.500
Sc2 0.321 0.179 0.500
Sc3 0.821 0.321 0.500
Sc4 0.179 0.679 0.500
```

Output
calculated formation energy: -0.30 eV/atom
space-group type: P4/mbm (127)

=====

Entry 4:
A plane-wave DFT calculation with PBE-GGA was carried out for crystalline Sc2Fe3Ge4 at its relaxed geometry.

Cell and atoms, written as CIF:
```
data_Sc2Fe3Ge4
_space_group_name_H-M_alt 'P 1'
_space_group_IT_number 1
_cell_length_a 5.146
_cell_length_b 5.146
_cell_length_c 6.569
_cell_angle_alpha 101.16
_cell_angle_beta 101.16
_cell_angle_gamma 120.37
loop_
_space_group_symop_operation_xyz
'x,y,z'
loop_
_atom_site_label
_atom_site_fract_x
_atom_site_fract_y
_atom_site_fract_z
Fe1 0.500 0.000 0.000
Fe2 0.000 0.000 0.000
Fe3 0.000 0.500 0.000
Ge1 0.675 0.003 0.677
Ge2 0.325 0.997 0.323
Ge3 0.003 0.675 0.677
Ge4 0.997 0.325 0.323
Sc1 0.367 0.367 0.735
Sc2 0.633 0.633 0.265
```

Output
calculated formation energy: -0.41 eV/atom
space-group type: Fmmm (69)

=====

Entry 5:
A plane-wave DFT calculation with PBE-GGA was carried out for crystalline Sc12Fe6Ge at its relaxed geometry.

Cell and atoms, written as CIF:
```
data_Sc12Fe6Ge
_space_group_name_H-M_alt 'P 1'
_space_group_IT_number 1
_cell_length_a 7.748
_cell_length_b 7.748
_cell_length_c 7.748
_cell_angle_alpha 109.47
_cell_angle_beta 109.47
_cell_angle_gamma 109.47
loop_
_space_group_symop_operation_xyz
'x,y,z'
loop_
_atom_site_label
_atom_site_fract_x
_atom_site_fract_y
_atom_site_fract_z
Sc1 0.292 0.097 0.805
Sc2 0.708 0.513 0.805
Sc3 0.487 0.195 0.292
Sc4 0.708 0.903 0.195
Sc5 0.805 0.292 0.097
Sc6 0.805 0.708 0.513
Sc7 0.195 0.708 0.903
Sc8 0.097 0.805 0.292
Sc9 0.513 0.805 0.708
Sc10 0.195 0.292 0.487
Sc11 0.903 0.195 0.708
Sc12 0.292 0.487 0.195
Ge1 0.000 0.000 0.000
Fe1 0.382 0.500 0.882
Fe2 0.500 0.882 0.382
Fe3 0.118 0.618 0.500
Fe4 0.882 0.382 0.500
Fe5 0.500 0.118 0.618
Fe6 0.618 0.500 0.118
```

Output
calculated formation energy: -0.18 eV/atom
space-group type: Im-3 (204)

=====

Entry 6:
A plane-wave DFT calculation with PBE-GGA was carried out for crystalline Sc2Fe5Ge4 at its relaxed geometry.

Cell and atoms, written as CIF:
```
data_Sc2Fe5Ge4
_space_group_name_H-M_alt 'P 1'
_space_group_IT_number 1
_cell_length_a 5.105
_cell_length_b 5.089
_cell_length_c 7.888
_cell_angle_alpha 80.66
_cell_angle_beta 71.12
_cell_angle_gamma 59.90
loop_
_space_group_symop_operation_xyz
'x,y,z'
loop_
_atom_site_label
_atom_site_fract_x
_atom_site_fract_y
_atom_site_fract_z
Fe1 0.000 0.500 0.000
Fe2 0.750 0.500 0.500
Fe3 0.250 0.500 0.500
Fe4 0.500 0.500 0.000
Fe5 0.500 0.000 0.000
Ge1 0.472 0.317 0.739
Ge2 0.211 0.317 0.261
Ge3 0.528 0.683 0.261
Ge4 0.789 0.683 0.739
Sc1 0.116 0.000 0.767
Sc2 0.884 0.000 0.233
```

Output
calculated formation energy: -0.25 eV/atom
space-group type: Fmmm (69)

=====

Entry 7:
A plane-wave DFT calculation with PBE-GGA was carried out for crystalline ScFe2Ge at its relaxed geometry.

Cell and atoms, written as CIF:
```
data_ScFe2Ge
_space_group_name_H-M_alt 'P 1'
_space_group_IT_number 1
_cell_length_a 3.576
_cell_length_b 3.576
_cell_length_c 9.554
_cell_angle_alpha 90.00
_cell_angle_beta 90.00
_cell_angle_gamma 90.00
loop_
_space_group_symop_operation_xyz
'x,y,z'
loop_
_atom_site_label
_atom_site_fract_x
_atom_site_fract_y
_atom_site_fract_z
Sc1 0.500 0.000 0.222
Sc2 0.000 0.500 0.778
Fe1 0.000 0.000 0.500
Fe2 0.000 0.500 0.059
Fe3 0.500 0.000 0.941
Fe4 0.500 0.500 0.500
Ge1 0.000 0.500 0.328
Ge2 0.500 0.000 0.672
```

Output
calculated formation energy: -0.24 eV/atom
space-group type: P4/nmm (129)

=====

Entry 8:
A plane-wave DFT calculation with PBE-GGA was carried out for crystalline ScFe3Ge at its relaxed geometry.

Cell and atoms, written as CIF:
```
data_ScFe3Ge
_space_group_name_H-M_alt 'P 1'
_space_group_IT_number 1
_cell_length_a 4.464
_cell_length_b 4.464
_cell_length_c 4.464
_cell_angle_alpha 90.00
_cell_angle_beta 90.00
_cell_angle_gamma 90.00
loop_
_space_group_symop_operation_xyz
'x,y,z'
loop_
_atom_site_label
_atom_site_fract_x
_atom_site_fract_y
_atom_site_fract_z
Fe1 0.000 0.000 0.500
Fe2 0.500 0.000 0.000
Fe3 0.000 0.500 0.000
Ge1 0.500 0.500 0.500
Sc1 0.000 0.000 0.000
```

Output
distance to the lowest polymorph of the same formula: 4.551 eV per formula unit
calculated formation energy: 1.39 eV/atom
space-group type: Pm-3m (221)

=====

Entry 9:
A plane-wave DFT calculation with PBE-GGA was carried out for crystalline Sc4Fe4Ge7 at its relaxed geometry.

Cell and atoms, written as CIF:
```
data_Sc4Fe4Ge7
_space_group_name_H-M_alt 'P 1'
_space_group_IT_number 1
_cell_length_a 5.174
_cell_length_b 9.844
_cell_length_c 9.844
_cell_angle_alpha 86.04
_cell_angle_beta 74.76
_cell_angle_gamma 74.76
loop_
_space_group_symop_operation_xyz
'x,y,z'
loop_
_atom_site_label
_atom_site_fract_x
_atom_site_fract_y
_atom_site_fract_z
Ge1 0.094 0.406 0.406
Ge2 0.906 0.594 0.594
Ge3 0.712 0.288 0.288
Ge4 0.500 0.594 0.406
Ge5 0.250 0.000 0.000
Ge6 0.288 0.712 0.712
Ge7 0.000 0.288 0.712
Ge8 0.000 0.712 0.288
Ge9 0.706 0.588 0.000
Ge10 0.750 0.000 0.000
Ge11 0.294 0.412 0.000
Ge12 0.500 0.406 0.594
Ge13 0.706 0.000 0.588
Ge14 0.294 0.000 0.412
Sc1 0.500 0.195 0.805
Sc2 0.140 0.721 0.000
Sc3 0.140 0.000 0.721
Sc4 0.695 0.805 0.805
Sc5 0.500 0.805 0.195
Sc6 0.860 0.279 0.000
Sc7 0.305 0.195 0.195
Sc8 0.860 0.000 0.279
Fe1 0.102 0.500 0.796
Fe2 0.398 0.204 0.500
Fe3 0.102 0.796 0.500
Fe4 0.602 0.500 0.796
Fe5 0.398 0.500 0.204
Fe6 0.602 0.796 0.500
Fe7 0.898 0.204 0.500
Fe8 0.898 0.500 0.204
```

Output
calculated formation energy: -0.57 eV/atom
space-group type: I4/mmm (139)

=====

Entry 10:
A plane-wave DFT calculation with PBE-GGA was carried out for crystalline ScFe3Ge at its relaxed geometry.

Cell and atoms, written as CIF:
```
data_ScFe3Ge
_space_group_name_H-M_alt 'P 1'
_space_group_IT_number 1
_cell_length_a 4.408
_cell_length_b 4.408
_cell_length_c 4.408
_cell_angle_alpha 90.00
_cell_angle_beta 90.00
_cell_angle_gamma 90.00
loop_
_space_group_symop_operation_xyz
'x,y,z'
loop_
_atom_site_label
_atom_site_fract_x
_atom_site_fract_y
_atom_site_fract_z
Sc1 0.500 0.500 0.500
Ge1 0.000 0.000 0.000
Fe1 0.000 0.000 0.500
Fe2 0.000 0.500 0.000
Fe3 0.500 0.000 0.000
```

Output
distance to the lowest polymorph of the same formula: 0.000 eV per formula unit
calculated formation energy: 0.48 eV/atom
space-group type: Pm-3m (221)

=====

Entry 11:
A plane-wave DFT calculation with PBE-GGA was carried out for crystalline Sc6Fe2Ge at its relaxed geometry.

Cell and atoms, written as CIF:
```
data_Sc6Fe2Ge
_space_group_name_H-M_alt 'P 1'
_space_group_IT_number 1
_cell_length_a 7.693
_cell_length_b 7.693
_cell_length_c 7.693
_cell_angle_alpha 106.82
_cell_angle_beta 110.46
_cell_angle_gamma 111.17
loop_
_space_group_symop_operation_xyz
'x,y,z'
loop_
_atom_site_label
_atom_site_fract_x
_atom_site_fract_y
_atom_site_fract_z
Sc1 0.692 0.363 0.671
Sc2 0.543 0.725 0.818
Sc3 0.308 0.637 0.329
Sc4 0.906 0.725 0.182
Sc5 0.203 0.757 0.960
Sc6 0.797 0.243 0.040
Sc7 0.094 0.275 0.818
Sc8 0.692 0.020 0.329
Sc9 0.308 0.980 0.671
Sc10 0.203 0.243 0.446
Sc11 0.797 0.757 0.554
Sc12 0.457 0.275 0.182
Fe1 0.661 0.000 0.661
Fe2 0.339 0.000 0.339
Fe3 0.500 0.617 0.117
Fe4 0.500 0.383 0.883
Ge1 0.000 0.500 0.500
Ge2 0.000 0.000 0.000
```

Output
calculated formation energy: -0.30 eV/atom
space-group type: Immm (71)

=====

Entry 12:
A plane-wave DFT calculation with PBE-GGA was carried out for crystalline ScFe5Ge2 at its relaxed geometry.

Cell and atoms, written as CIF:
```
data_ScFe5Ge2
_space_group_name_H-M_alt 'P 1'
_space_group_IT_number 1
_cell_length_a 3.321
_cell_length_b 6.123
_cell_length_c 6.123
_cell_angle_alpha 71.31
_cell_angle_beta 74.26
_cell_angle_gamma 74.26
loop_
_space_group_symop_operation_xyz
'x,y,z'
loop_
_atom_site_label
_atom_site_fract_x
_atom_site_fract_y
_atom_site_fract_z
Fe1 0.363 0.448 0.827
Fe2 0.000 0.500 0.500
Fe3 0.637 0.552 0.173
Fe4 0.637 0.173 0.552
Fe5 0.363 0.827 0.448
Ge1 0.736 0.764 0.764
Ge2 0.264 0.236 0.236
Sc1 0.000 0.000 0.000
```

Output
calculated formation energy: -0.18 eV/atom
space-group type: Immm (71)

=====

Here are the calculated spin magnetization numbers, same order: 3.05; 2.34; 0.00; 4.67; 4.62; 6.34; 8.57; 6.58; 10.66; 5.98; 1.37; 10.35 (μB per cell).